[1]
Entry from the Alexandria database: an optimized crystal structure of Pm3CrC3 (GGA-PBE).

- ρ: 7039 kg/m3
- SG: Cmcm (63)
- Crystal system: orthorhombic
- Electronic total energy: -105.55 eV for the cell shown
- Energy of formation from the pure elements: -0.1757 eV/atom

a b c (Å): 6.8748 6.8748 5.3224
angles (deg): 90.00 90.00 101.19
Sites, in units of the cell vectors:
1 Pm 0.1105 0.8895 0.7500
2 Pm 0.1740 0.4127 0.7500
3 Pm 0.4127 0.1740 0.2500
4 Pm 0.5873 0.8260 0.7500
5 Pm 0.8260 0.5873 0.2500
6 Pm 0.8895 0.1105 0.2500
7 Cr 0.3018 0.6982 0.2500
8 Cr 0.6982 0.3018 0.7500
9 C 0.1268 0.8732 0.2500
10 C 0.1811 0.4347 0.2500
11 C 0.4347 0.1811 0.7500
12 C 0.5653 0.8189 0.2500
13 C 0.8189 0.5653 0.7500
14 C 0.8732 0.1268 0.7500

[2]
Entry from the Alexandria database: an optimized crystal structure of PaPd3Pt (GGA-PBE).

- ρ: 13576 kg/m3
- SG: P2_1/c (14)
- Crystal system: monoclinic
- Electronic total energy: -136.55 eV for the cell shown
- Energy of formation from the pure elements: -0.6043 eV/atom
- Polymorph energy (0 for the lowest one): 0 meV per atom

a b c (Å): 4.8236 7.1825 11.5018
angles (deg): 90.00 113.77 90.00
Sites, in units of the cell vectors:
1 Pa 0.1741 0.1318 0.2492
2 Pa 0.1741 0.3682 0.7492
3 Pa 0.8259 0.6318 0.2508
4 Pa 0.8259 0.8682 0.7508
5 Pd 0.0352 0.1756 0.9442
6 Pd 0.0352 0.3244 0.4442
7 Pd 0.3560 0.6765 0.9415
8 Pd 0.3560 0.8235 0.4415
9 Pd 0.4758 0.0256 0.8787
10 Pd 0.4758 0.4744 0.3787
11 Pd 0.5242 0.5256 0.6213
12 Pd 0.5242 0.9744 0.1213
13 Pd 0.6440 0.1765 0.5585
14 Pd 0.6440 0.3235 0.0585
15 Pd 0.9648 0.6756 0.5558
16 Pd 0.9648 0.8244 0.0558
17 Pt 0.2113 0.0223 0.6237
18 Pt 0.2113 0.4777 0.1237
19 Pt 0.7887 0.5223 0.8763
20 Pt 0.7887 0.9777 0.3763

[3]
Entry from the Alexandria database: an optimized crystal structure of ZrMo2 (GGA-PBE).

- ρ: 8919 kg/m3
- SG: Pnnm (58)
- Crystal system: orthorhombic
- Electronic total energy: -59.21 eV for the cell shown
- Energy of formation from the pure elements: 0.2020 eV/atom
- Polymorph energy (0 for the lowest one): 352 meV per atom

a b c (Å): 2.7654 8.1644 4.6691
angles (deg): 90.00 90.00 90.00
Sites, in units of the cell vectors:
1 Zr 0.0000 0.0000 0.0000
2 Zr 0.5000 0.5000 0.5000
3 Mo 0.2092 0.3336 0.0000
4 Mo 0.2908 0.8336 0.5000
5 Mo 0.7092 0.1664 0.5000
6 Mo 0.7908 0.6664 0.0000

[4]
Entry from the Alexandria database: an optimized crystal structure of Pr4BiPb2 (GGA-PBE).

- ρ: 8438 kg/m3
- SG: P2_1/m (11)
- Crystal system: monoclinic
- Electronic total energy: -67.79 eV for the cell shown
- Energy of formation from the pure elements: -0.4970 eV/atom
- Polymorph energy (0 for the lowest one): 178 meV per atom

a b c (Å): 6.3935 6.7955 10.8591
angles (deg): 90.00 98.03 90.00
Sites, in units of the cell vectors:
1 Pr 0.0416 0.2500 0.1559
2 Pr 0.1507 0.7500 0.4470
3 Pr 0.4193 0.0114 0.7306
4 Pr 0.4193 0.4886 0.7306
5 Pr 0.5807 0.5114 0.2694
6 Pr 0.5807 0.9886 0.2694
7 Pr 0.8493 0.2500 0.5530
8 Pr 0.9584 0.7500 0.8441
9 Bi 0.0436 0.7500 0.1549
10 Bi 0.9564 0.2500 0.8451
11 Pb 0.2965 0.2500 0.4512
12 Pb 0.4940 0.7500 0.9937
13 Pb 0.5060 0.2500 0.0063
14 Pb 0.7035 0.7500 0.5488

| no. | total magnetic moment (μB per formula unit) |
| --- | --- |
| 1 | 0.0 |
| 2 | 0.0 |
| 3 | 0.0 |
| 4 | 0.0 |